Record 1
CaCr2Fe2: relaxed, GGA-PBE.

POSCAR file:
```
CaCr2Fe2
1.0
3.965 0.000 0.000
0.000 3.965 0.000
1.983 1.983 4.748
Cr Ca Fe
2 1 2
direct
0.750 0.250 0.500 Cr
0.250 0.750 0.500 Cr
0.000 0.000 0.000 Ca
0.369 0.369 0.262 Fe
0.631 0.631 0.738 Fe
```

Computed properties:
Energy above the lowest structure with this stoichiometry ... 0.0 meV per atom
Crystal system ... tetragonal
Symmetry ... No. 139


Record 2
Er2Tl: relaxed, GGA-PBE.

POSCAR file:
```
Er2Tl
1.0
-3.166 -0.388 -4.310
5.093 -1.655 -0.263
-1.882 -6.100 1.932
Er Tl
4 2
direct
0.667 0.833 0.250 Er
0.333 0.167 0.750 Er
0.000 0.500 0.000 Er
0.000 0.500 0.500 Er
0.667 0.833 0.750 Tl
0.333 0.167 0.250 Tl
```

Computed properties:
DFT total energy ... -12.2 eV/f.u.
Crystal system ... hexagonal
Symmetry ... No. 194


Record 3
B3SbF: relaxed, GGA-PBE.

POSCAR file:
```
B3SbF
1.0
-3.939 -0.518 -0.680
0.802 -3.351 -2.091
-0.297 -2.178 3.378
Sb B F
1 3 1
direct
0.500 0.500 0.500 Sb
0.000 0.500 0.000 B
0.000 0.000 0.500 B
0.500 0.000 0.000 B
0.000 0.000 0.000 F
```

Computed properties:
Energy above the lowest structure with this stoichiometry ... 0.0 meV per atom
Crystal system ... cubic
Symmetry ... No. 221


Record 4
KBe2Pb: relaxed, GGA-PBE.

POSCAR file:
```
KBe2Pb
1.0
3.280 0.000 0.000
-0.400 3.255 0.000
0.000 0.000 8.105
Pb Be K
1 2 1
direct
0.500 0.500 0.821 Pb
0.000 0.000 0.079 Be
0.500 0.500 0.137 Be
0.000 0.000 0.463 K
```

Computed properties:
DFT total energy ... -10.0 eV/f.u.
Crystal system ... orthorhombic
Symmetry ... No. 35


Record 5
CdPbO: relaxed, GGA-PBE.

POSCAR file:
```
CdPbO
1.0
3.536 0.000 0.000
-1.768 3.062 0.000
0.000 0.000 5.642
Pb O Cd
1 1 1
direct
0.000 0.000 0.062 Pb
0.333 0.667 0.356 O
0.667 0.333 0.582 Cd
```

Computed properties:
Energy above the lowest structure with this stoichiometry ... 111.9 meV per atom
Crystal system ... trigonal
Symmetry ... No. 156


Record 6
InOsBr2: relaxed, GGA-PBE.

POSCAR file:
```
InOsBr2
1.0
3.196 0.000 0.000
0.000 5.752 0.000
0.000 0.000 4.666
Os Br In
1 2 1
direct
0.000 0.500 0.500 Os
0.000 0.000 0.000 Br
0.500 0.500 0.000 Br
0.500 0.000 0.500 In
```

Computed properties:
Energy above the lowest structure with this stoichiometry ... 719.5 meV per atom
Crystal system ... orthorhombic
Symmetry ... No. 47


Record 7
PrDy10Sc4: relaxed, GGA-PBE.

POSCAR file:
```
PrDy10Sc4
1.0
-2.450 5.078 -3.509
-7.102 -2.751 -5.305
-6.735 4.335 4.691
Pr Dy Sc
1 10 4
direct
0.000 0.000 0.000 Pr
0.250 0.500 0.500 Dy
0.632 0.404 0.842 Dy
0.964 0.158 0.404 Dy
0.526 0.842 0.596 Dy
0.878 0.596 0.158 Dy
0.368 0.596 0.158 Dy
0.750 0.500 0.500 Dy
0.122 0.404 0.842 Dy
0.474 0.158 0.404 Dy
0.036 0.842 0.596 Dy
0.431 0.892 0.246 Sc
0.677 0.754 0.892 Sc
0.323 0.246 0.108 Sc
0.569 0.108 0.754 Sc
```

Computed properties:
DFT total energy ... -67.6 eV/f.u.
Crystal system ... tetragonal
Symmetry ... No. 87


Record 8
HgGe3Cl: relaxed, GGA-PBE.

POSCAR file:
```
HgGe3Cl
1.0
-2.497 4.536 1.235
-4.662 -2.569 0.011
0.605 -1.076 5.178
Ge Hg Cl
3 1 1
direct
0.000 0.500 0.000 Ge
0.000 0.000 0.500 Ge
0.500 0.000 0.000 Ge
0.000 0.000 0.000 Hg
0.500 0.500 0.500 Cl
```

Computed properties:
Energy above the lowest structure with this stoichiometry ... 73.2 meV per atom
Crystal system ... cubic
Symmetry ... No. 221


Record 9
DyGa2Si: relaxed, GGA-PBE.

POSCAR file:
```
DyGa2Si
1.0
-3.849 -0.747 -1.749
-1.320 -1.662 3.617
-1.306 3.780 1.261
Si Ga Dy
1 2 1
direct
0.500 0.000 0.000 Si
0.000 0.000 0.500 Ga
0.000 0.500 0.000 Ga
0.500 0.500 0.500 Dy
```

Computed properties:
Energy above the lowest structure with this stoichiometry ... 0.0 meV per atom
Crystal system ... tetragonal
Symmetry ... No. 123


Record 10
Er3Cd2Ag8: relaxed, GGA-PBE.

POSCAR file:
```
Er3Cd2Ag8
1.0
5.509 0.000 0.000
2.755 4.771 0.000
2.755 1.590 10.874
Er Cd Ag
3 2 8
direct
0.000 0.000 0.000 Er
0.812 0.812 0.563 Er
0.188 0.188 0.437 Er
0.637 0.637 0.088 Cd
0.363 0.363 0.912 Cd
0.721 0.721 0.837 Ag
0.279 0.279 0.163 Ag
0.229 0.732 0.307 Ag
0.732 0.229 0.307 Ag
0.732 0.732 0.307 Ag
0.268 0.771 0.693 Ag
0.771 0.268 0.693 Ag
0.268 0.268 0.693 Ag
```

Computed properties:
DFT total energy ... -39.3 eV/f.u.
Crystal system ... trigonal
Symmetry ... No. 166


Record 11
Cs2AgBr4: relaxed, GGA-PBE.

POSCAR file:
```
Cs2AgBr4
1.0
-0.777 1.605 -4.568
7.174 -2.867 -2.228
-3.400 -7.036 -1.894
Cs Br Ag
2 4 1
direct
0.500 0.000 0.500 Cs
0.500 0.500 0.000 Cs
0.000 0.769 0.769 Br
0.000 0.231 0.231 Br
0.000 0.769 0.231 Br
0.000 0.231 0.769 Br
0.000 0.000 0.000 Ag
```

Computed properties:
Energy above the lowest structure with this stoichiometry ... 0.0 meV per atom
Crystal system ... tetragonal
Symmetry ... No. 123


Record 12
NbCuMo: relaxed, GGA-PBE.

POSCAR file:
```
NbCuMo
1.0
-3.543 -2.595 1.385
2.608 -1.364 -3.542
1.546 -1.247 1.619
Mo Nb Cu
1 1 1
direct
0.000 0.000 0.192 Mo
0.667 0.333 0.838 Nb
0.333 0.667 0.513 Cu
```

Computed properties:
Energy above the lowest structure with this stoichiometry ... 80.1 meV per atom
Crystal system ... trigonal
Symmetry ... No. 156


Record 13
NbFe2Si: relaxed, GGA-PBE.

POSCAR file:
```
NbFe2Si
1.0
-6.020 -0.472 -2.985
2.892 -2.826 -5.387
-1.895 -3.959 -3.152
Nb Si Fe
2 2 4
direct
0.000 0.000 0.000 Nb
0.750 0.250 0.500 Nb
0.500 0.500 0.000 Si
0.250 0.750 0.500 Si
0.589 0.125 0.250 Fe
0.161 0.625 0.250 Fe
0.375 0.411 0.750 Fe
0.875 0.839 0.750 Fe
```

Computed properties:
DFT total energy ... -31.3 eV/f.u.
Crystal system ... tetragonal
Symmetry ... No. 122


Record 14
CaTc3Ru: relaxed, GGA-PBE.

POSCAR file:
```
CaTc3Ru
1.0
-3.718 2.063 1.380
-2.413 -2.417 -2.885
-0.585 -3.144 3.124
Ru Ca Tc
1 1 3
direct
0.500 0.500 0.500 Ru
0.000 0.000 0.000 Ca
0.000 0.500 0.000 Tc
0.000 0.000 0.500 Tc
0.500 0.000 0.000 Tc
```

Computed properties:
Energy above the lowest structure with this stoichiometry ... 1489.9 meV per atom
Crystal system ... cubic
Symmetry ... No. 221


Record 15
KBaIn2Pd: relaxed, GGA-PBE.

POSCAR file:
```
KBaIn2Pd
1.0
5.430 0.000 0.000
0.000 5.430 0.000
0.000 0.000 5.886
K Ba Pd In
1 1 1 2
direct
0.500 0.500 0.500 K
0.000 0.000 0.500 Ba
0.000 0.000 0.000 Pd
0.000 0.500 0.000 In
0.500 0.000 0.000 In
```

Computed properties:
DFT total energy ... -15.0 eV/f.u.
Crystal system ... tetragonal
Symmetry ... No. 123


Record 16
LiPm7Pd4: relaxed, GGA-PBE.

POSCAR file:
```
LiPm7Pd4
1.0
-4.624 2.334 1.754
-4.913 -6.308 3.970
0.362 1.695 7.223
Li Pm Pd
1 7 4
direct
0.000 0.000 0.000 Li
0.802 0.884 0.512 Pm
0.198 0.116 0.488 Pm
0.079 0.622 0.219 Pm
0.921 0.378 0.781 Pm
0.321 0.634 0.724 Pm
0.500 0.000 0.000 Pm
0.679 0.366 0.276 Pm
0.555 0.227 0.662 Pd
0.445 0.773 0.338 Pd
0.697 0.669 0.937 Pd
0.303 0.331 0.063 Pd
```

Computed properties:
DFT total energy ... -60.2 eV/f.u.
Crystal system ... monoclinic
Symmetry ... No. 12


Record 17
Pu2ThIn: relaxed, GGA-PBE.

POSCAR file:
```
Pu2ThIn
1.0
-3.754 0.847 3.709
-1.311 -3.898 3.415
1.372 0.387 5.152
In Th Pu
1 1 2
direct
0.000 0.000 0.000 In
0.500 0.500 0.500 Th
0.250 0.250 0.250 Pu
0.750 0.750 0.750 Pu
```

Computed properties:
Energy above the lowest structure with this stoichiometry ... 184.7 meV per atom
Crystal system ... cubic
Symmetry ... No. 225


Record 18
Er12Cu6Au: relaxed, GGA-PBE.

POSCAR file:
```
Er12Cu6Au
1.0
7.887 0.000 -2.789
-3.944 6.830 -2.789
0.000 0.000 8.366
Er Cu Au
12 6 1
direct
0.291 0.104 0.812 Er
0.291 0.479 0.188 Er
0.709 0.521 0.812 Er
0.709 0.896 0.188 Er
0.104 0.812 0.291 Er
0.479 0.188 0.291 Er
0.521 0.812 0.709 Er
0.896 0.188 0.709 Er
0.812 0.291 0.104 Er
0.188 0.291 0.479 Er
0.812 0.709 0.521 Er
0.188 0.709 0.896 Er
0.374 0.500 0.874 Cu
0.626 0.500 0.126 Cu
0.500 0.874 0.374 Cu
0.500 0.126 0.626 Cu
0.874 0.374 0.500 Cu
0.126 0.626 0.500 Cu
0.000 0.000 0.000 Au
```

Computed properties:
DFT total energy ... -87.1 eV/f.u.
Crystal system ... cubic
Symmetry ... No. 204


Record 19
Ac6As2SeS3: relaxed, GGA-PBE.

POSCAR file:
```
Ac6As2SeS3
1.0
4.423 0.000 0.000
0.000 8.818 0.349
-2.212 -2.512 9.276
Ac As Se S
6 2 1 3
direct
0.330 0.917 0.660 Ac
0.667 0.585 0.333 Ac
0.670 0.083 0.340 Ac
0.999 0.259 0.998 Ac
0.001 0.741 0.002 Ac
0.333 0.415 0.667 Ac
0.835 0.669 0.669 As
0.165 0.331 0.331 As
0.500 0.000 0.000 Se
0.500 0.500 0.000 S
0.834 0.166 0.667 S
0.166 0.834 0.333 S
```

Computed properties:
DFT total energy ... -71.9 eV/f.u.
Crystal system ... monoclinic
Symmetry ... No. 12


Record 20
NbRe3Tc: relaxed, GGA-PBE.

POSCAR file:
```
NbRe3Tc
1.0
4.683 0.000 0.000
0.000 4.683 0.000
0.000 0.000 4.683
Re Nb Tc
3 1 1
direct
0.000 0.500 0.000 Re
0.000 0.000 0.500 Re
0.500 0.000 0.000 Re
0.000 0.000 0.000 Nb
0.500 0.500 0.500 Tc
```

Computed properties:
Energy above the lowest structure with this stoichiometry ... 640.5 meV per atom
Crystal system ... cubic
Symmetry ... No. 221


Record 21
Sr8Ac: relaxed, GGA-PBE.

POSCAR file:
```
Sr8Ac
1.0
6.110 0.000 0.000
3.055 8.831 0.000
3.055 0.000 8.831
Sr Ac
8 1
direct
0.337 0.000 0.327 Sr
0.663 0.000 0.673 Sr
0.663 0.673 0.000 Sr
0.000 0.670 0.330 Sr
0.330 0.670 0.670 Sr
0.670 0.330 0.330 Sr
0.000 0.330 0.670 Sr
0.337 0.327 0.000 Sr
0.000 0.000 0.000 Ac
```

Computed properties:
DFT total energy ... -17.2 eV/f.u.
Crystal system ... tetragonal
Symmetry ... No. 139


Record 22
Er2ZnAs: relaxed, GGA-PBE.

POSCAR file:
```
Er2ZnAs
1.0
3.714 0.000 0.000
0.000 4.851 0.000
0.000 0.000 4.851
As Zn Er
1 1 2
direct
0.500 0.500 0.500 As
0.500 0.000 0.000 Zn
0.000 0.000 0.500 Er
0.000 0.500 0.000 Er
```

Computed properties:
Energy above the lowest structure with this stoichiometry ... 0.0 meV per atom
Crystal system ... tetragonal
Symmetry ... No. 123


Record 23
PrIrC: relaxed, GGA-PBE.

POSCAR file:
```
PrIrC
1.0
-4.115 1.512 2.802
-1.743 -2.688 -1.109
1.846 -0.229 2.835
Pr C Ir
1 1 1
direct
0.720 0.333 0.667 Pr
0.084 0.667 0.333 C
0.196 0.000 0.000 Ir
```

Computed properties:
Energy above the lowest structure with this stoichiometry ... 358.8 meV per atom
Crystal system ... trigonal
Symmetry ... No. 156


Record 24
EuAlGa2: relaxed, GGA-PBE.

POSCAR file:
```
EuAlGa2
1.0
-4.503 -0.813 1.774
-3.106 -2.918 -2.433
-1.162 -4.407 1.819
Eu Al Ga
1 1 2
direct
0.000 0.000 0.000 Eu
0.500 0.500 0.500 Al
0.250 0.250 0.250 Ga
0.750 0.750 0.750 Ga
```

Computed properties:
DFT total energy ... -21.1 eV/f.u.
Crystal system ... cubic
Symmetry ... No. 225


Record 25
NdMgSc2Hg4: relaxed, GGA-PBE.

POSCAR file:
```
NdMgSc2Hg4
1.0
-1.522 1.690 -4.412
2.917 -0.489 -3.986
-3.204 -7.415 -4.526
Nd Mg Sc Hg
1 1 2 4
direct
0.000 0.000 0.000 Nd
0.500 0.500 0.500 Mg
0.758 0.758 0.725 Sc
0.242 0.242 0.275 Sc
0.386 0.386 0.841 Hg
0.873 0.873 0.380 Hg
0.127 0.127 0.620 Hg
0.614 0.614 0.159 Hg
```

Computed properties:
DFT total energy ... -23.3 eV/f.u.
Crystal system ... trigonal
Symmetry ... No. 166


Record 26
InSnICl2: relaxed, GGA-PBE.

POSCAR file:
```
InSnICl2
1.0
-0.929 -2.015 5.037
5.418 -0.089 0.964
-0.312 5.881 2.296
I Cl Sn In
1 2 1 1
direct
0.000 0.000 0.500 I
0.000 0.500 0.000 Cl
0.500 0.000 0.000 Cl
0.000 0.000 0.000 Sn
0.500 0.500 0.500 In
```

Computed properties:
DFT total energy ... -15.5 eV/f.u.
Crystal system ... tetragonal
Symmetry ... No. 123


no.,calculated volume (Å³/atom)
1,14.9
2,27.7
3,13.1
4,21.6
5,20.4
6,21.4
7,33.3
8,30.2
9,18.9
10,22.0
11,45.3
12,15.7
13,14.5
14,17.9
15,34.7
16,26.5
17,27.0
18,23.7
19,30.5
20,20.5
21,52.9
22,21.9
23,17.3
24,20.9
25,23.5
26,38.3